Compound: Sr2ZrS4
Source: Alexandria
Functional: GGA-PBE
Structure: optimized geometry

Output
Formation energy without anion corrections: -1786 meV/atom
Space-group type: No. 11
E_tot: -5.846 eV per atom

extended XYZ file:
```
14
Lattice="7.125 0.000 0.000 0.000 7.080 0.000 -2.538 0.000 7.919" Properties=species:S:1:pos:R:3 pbc="T T T"
Sr 1.297 1.770 0.389
Sr 0.333 1.770 4.431
Sr 4.254 5.310 3.489
Sr 3.289 5.310 7.530
Zr -0.220 5.310 6.410
Zr 4.807 1.770 1.510
S -1.789 0.018 5.908
S -1.789 3.523 5.908
S 2.965 5.310 0.784
S 1.681 5.310 4.965
S 2.906 1.770 2.954
S 1.621 1.770 7.135
S 6.376 3.558 2.011
S 6.376 7.063 2.011
```


Compound: Dy6Hg5
Source: Alexandria
Functional: GGA-PBE
Structure: optimized geometry

Output
Formation energy: -378 meV/atom
Space-group type: No. 71
E_tot: -3.025 eV per atom

extended XYZ file:
```
11
Lattice="-2.594 3.729 7.755 2.594 -3.729 7.755 2.594 3.729 -7.755" Properties=species:S:1:pos:R:3 pbc="T T T"
Dy 2.594 1.822 -2.526
Dy 0.000 1.816 0.000
Dy 2.594 1.822 2.526
Dy 0.000 1.906 5.228
Dy 0.000 5.642 0.000
Dy 0.000 1.906 10.281
Hg 0.000 0.000 2.548
Hg 2.594 0.000 5.149
Hg 0.000 0.000 7.755
Hg 0.000 3.729 2.606
Hg 0.000 0.000 12.962
```